No. 1
A geometry-optimized PaSn2As structure, computed with GGA-PBE.

abc: 5.084 4.282 4.282
angles: 90.00 90.00 90.00
Fractional coordinates of all 4 atoms:
As: 0.500 0.500 0.500
Sn: 0.000 0.500 0.000
Sn: 0.000 0.000 0.500
Pa: 0.500 0.000 0.000

No. 2
A geometry-optimized CeAl2CuAu4 structure, computed with GGA-PBE.

abc: 4.430 4.430 9.253
angles: 76.15 76.15 60.00
Fractional coordinates of all 8 atoms:
Al: 0.763 0.763 0.711
Au: 0.398 0.398 0.805
Al: 0.237 0.237 0.289
Au: 0.602 0.602 0.195
Ce: 0.000 0.000 0.000
Au: 0.868 0.868 0.397
Cu: 0.500 0.500 0.500
Au: 0.132 0.132 0.603

No. 3
A geometry-optimized SbTe2RuO structure, computed with GGA-PBE.

Output
Formation energy without anion corrections = 4.280 eV/f.u.
Distance to the lowest polymorph of the same formula = 176 kJ/mol of formula units

abc: 5.105 5.105 5.138
angles: 90.00 90.00 90.00
Fractional coordinates of all 5 atoms:
Te: 0.500 0.000 0.000
Ru: 0.000 0.000 0.000
Te: 0.000 0.500 0.000
Sb: 0.000 0.000 0.500
O: 0.500 0.500 0.500

No. 4
A geometry-optimized Tl6In3Hg2 structure, computed with GGA-PBE.

abc: 3.501 3.501 30.149
angles: 86.67 86.67 60.00
Fractional coordinates of all 11 atoms:
In: 0.727 0.727 0.818
In: 0.000 0.000 0.000
Hg: 0.546 0.546 0.363
In: 0.273 0.273 0.182
Tl: 0.909 0.909 0.274
Tl: 0.636 0.636 0.091
Hg: 0.454 0.454 0.637
Tl: 0.817 0.817 0.548
Tl: 0.183 0.183 0.452
Tl: 0.091 0.091 0.726
Tl: 0.364 0.364 0.909

No. 5
A geometry-optimized AcPr6Ho2 structure, computed with GGA-PBE.

Output
Distance to the lowest polymorph of the same formula = 0 kJ/mol of formula units

abc: 5.858 12.329 12.329
angles: 48.40 103.74 103.74
Fractional coordinates of all 18 atoms:
Ho: 0.000 0.333 0.167
Ho: 0.000 0.667 0.833
Pr: 0.838 0.505 0.671
Pr: 0.838 0.171 0.005
Pr: 0.338 0.671 0.505
Pr: 0.921 0.921 0.421
Pr: 0.579 0.579 0.079
Pr: 0.162 0.495 0.329
Pr: 0.338 0.005 0.171
Pr: 0.662 0.329 0.495
Ac: 0.250 0.250 0.750
Pr: 0.079 0.079 0.579
Pr: 0.421 0.421 0.921
Ac: 0.750 0.750 0.250
Ho: 0.500 0.167 0.333
Pr: 0.162 0.829 0.995
Pr: 0.662 0.995 0.829
Ho: 0.500 0.833 0.667

No. 6
A geometry-optimized Pm2Ga2Se structure, computed with GGA-PBE.

Output
Formation energy without anion corrections = -6.001 eV/f.u.

abc: 4.227 4.227 8.107
angles: 89.99 105.10 120.05
Fractional coordinates of all 5 atoms:
Se: 0.000 0.000 0.000
Ga: 0.355 0.178 0.533
Pm: 0.816 0.409 0.225
Ga: 0.645 0.822 0.467
Pm: 0.184 0.591 0.775

No. 7
A geometry-optimized CdOs3Ru structure, computed with GGA-PBE.

Output
Distance to the lowest polymorph of the same formula = 0 kJ/mol of formula units

abc: 4.682 4.682 4.682
angles: 90.00 90.00 90.00
Fractional coordinates of all 5 atoms:
Ru: 0.000 0.000 0.000
Os: 0.500 0.000 0.000
Os: 0.000 0.500 0.000
Cd: 0.500 0.500 0.500
Os: 0.000 0.000 0.500

No. 8
A geometry-optimized ZrPtCl2 structure, computed with GGA-PBE.

Output
Formation energy without anion corrections = -1.393 eV/f.u.
Distance to the lowest polymorph of the same formula = 315 kJ/mol of formula units

abc: 3.138 5.369 4.382
angles: 90.00 90.00 90.00
Fractional coordinates of all 4 atoms:
Zr: 0.000 0.500 0.500
Pt: 0.500 0.000 0.500
Cl: 0.500 0.500 0.000
Cl: 0.000 0.000 0.000

| no. | calculated density (g/cm3) | final energy (eV per cell) |
| --- | --- | --- |
| 1 | 9.68 | -23.84 |
| 2 | 11.49 | -34.26 |
| 3 | 6.13 | -20.36 |
| 4 | 10.26 | -22.78 |
| 5 | 7.24 | -82.92 |
| 6 | 7.06 | -25.04 |
| 7 | 12.69 | -33.19 |
| 8 | 8.04 | -19.68 |